Compound: CrW2
Source: the Alexandria database
Functional: GGA-PBEsol
Structure: relaxed

Lattice parameters (Å, degrees): 4.077 4.077 2.908 90.00 90.00 90.00
Space group P4/mmm (No. 123)
One atom of each set of equivalent atoms:
1 Cr 0.000 0.000 0.000 [1 per cell]
2 W 0.000 0.500 0.500 [2 per cell]

Values from the calculation:
Crystal system: tetragonal
E above lowest polymorph (meV/atom): 878
Total magnetic moment (μB per formula unit): 0.0
E_form (eV/atom): 0.95

Compound: CrW5
Source: the Alexandria database
Functional: GGA-PBEsol
Structure: relaxed

Lattice parameters (Å, degrees): 9.808 3.114 6.221 90.00 108.42 90.00
Space group C2/m (No. 12)
One atom of each set of equivalent atoms:
1 Cr 0.000 0.000 0.000 [2 per cell]
2 W 0.000 0.000 0.500 [2 per cell]
3 W 0.165 0.500 0.327 [4 per cell]
4 W 0.165 0.500 0.837 [4 per cell]

Values from the calculation:
Crystal system: monoclinic
Total magnetic moment (μB per formula unit): 0.0
E_form (eV/atom): 0.06

Compound: CrW3
Source: the Alexandria database
Functional: GGA-PBEsol
Structure: relaxed

Lattice parameters (Å, degrees): 4.362 4.362 3.088 90.00 90.00 90.00
Space group P4/mmm (No. 123)
One atom of each set of equivalent atoms:
1 Cr 0.000 0.000 0.000 [1 per cell]
2 W 0.000 0.500 0.500 [2 per cell]
3 W 0.500 0.500 0.000 [1 per cell]

Values from the calculation:
Crystal system: tetragonal
Total magnetic moment (μB per formula unit): 0.0
E_form (eV/atom): 0.07